A plane-wave DFT calculation with PBE was carried out for an optimized crystal structure of Rb2PtW.

Properties
**Energy of formation from the pure elements**: 1.810 eV/atom
**Density of states at the Fermi level**: 14.57 states/eV/cell
**Energy above the lowest structure with this stoichiometry**: 725.6 meV/atom
**Raw total energy**: -3.422 eV per atom

Lattice parameters (Å, degrees): 8.0815 8.0815 8.0815 90.00 90.00 90.00
Space group Fm-3m (No. 225)
One atom of each set of equivalent atoms:
Rb: 0.2500 0.2500 0.2500 [8 per cell]
Pt: 0.0000 0.0000 0.0000 [4 per cell]
W: 0.0000 0.0000 0.5000 [4 per cell]